Compound: Dy2MgTl9
Source: Alexandria
Functional: PBE-GGA
Structure: optimized geometry Values from VASP.

```
&SYSTEM
  ibrav = 0, nat = 12, ntyp = 3
/
ATOMIC_SPECIES
Dy 162.50 Dy.upf
Tl 204.38 Tl.upf
Mg 24.30 Mg.upf
ATOMIC_POSITIONS crystal
Dy 0.000 0.000 0.338
Dy 0.000 0.000 0.662
Tl 0.500 0.500 0.332
Tl 0.500 0.000 0.164
Tl 0.000 0.500 0.836
Tl 0.000 0.500 0.500
Tl 0.500 0.000 0.500
Tl 0.500 0.500 0.668
Tl 0.500 0.000 0.836
Tl 0.000 0.500 0.164
Tl 0.500 0.500 0.000
Mg 0.000 0.000 0.000
CELL_PARAMETERS angstrom
4.775 0.000 0.000
0.000 4.775 0.000
0.000 0.000 14.323
```

Calculated values
E_form	-0.126	eV per atom
DOS(E_F)	6.2	states/eV/f.u.
energy	-2.80	eV/atom